A relaxed structure of VCdMoF6, computed with PBE with a Hubbard U.

Cell lengths 5.6982, 5.6982, 10.9217 Å; angles 90.00, 90.00, 120.00 degrees
Space group P-31c (No. 163)
One atom of each set of equivalent atoms:
V 0.3333 0.6667 0.2500 x2
Cd 0.0000 0.0000 0.0000 x2
Mo 0.3333 0.6667 0.7500 x2
F 0.0027 0.3657 0.6494 x12

Results
N(E_F) in states/eV per cell: 5.8
Final energy in eV per atom: -5.218
Magnetic moment in μB per cell: 10.481